Record 1
Here is FeRePt2 after structural relaxation from Alexandria via LeMat-Bulk. Energies are from PBE-GGA.

The calculation puts the energy of formation from the pure elements at -0.1126 eV per atom. The density of states at the Fermi level comes out at 2.8 states/eV/cell. The total energy comes out at -33.4 eV/cell.

```
FeRePt2
1.0
4.529 -1.355 0.000
4.529 1.355 0.000
-0.800 0.000 4.757
Fe Re Pt
1 1 2
direct
0.000 0.000 0.000 Fe
0.743 0.743 0.264 Re
0.252 0.252 0.776 Pt
0.492 0.492 0.485 Pt
```


Record 2
Here is FeRePt2 after structural relaxation from Alexandria via LeMat-Bulk. Energies are from PBE-GGA.

The calculation puts the energy of formation from the pure elements at -0.0635 eV per atom. The density of states at the Fermi level comes out at 3.9 states/eV/cell. The total energy comes out at -33.2 eV/cell.

```
FeRePt2
1.0
-1.903 1.903 3.978
1.903 -1.903 3.978
1.903 1.903 -3.978
Fe Re Pt
1 1 2
direct
0.000 0.000 0.000 Fe
0.500 0.500 0.000 Re
0.250 0.750 0.500 Pt
0.750 0.250 0.500 Pt
```


Record 3
Here is FeRePt4 after structural relaxation from Alexandria via LeMat-Bulk. Energies are from PBE-GGA.

The calculation puts the energy of formation from the pure elements at -0.1971 eV per atom. The density of states at the Fermi level comes out at 4.1 states/eV/cell. The total energy comes out at -46.3 eV/cell.

```
FeRePt4
1.0
2.762 0.000 0.000
0.000 2.762 0.000
0.000 0.000 11.771
Fe Re Pt
1 1 4
direct
0.000 0.000 0.000 Fe
0.500 0.500 0.500 Re
0.000 0.000 0.338 Pt
0.000 0.000 0.662 Pt
0.500 0.500 0.154 Pt
0.500 0.500 0.846 Pt
```


Record 4
Here is FeRePt2 after structural relaxation from Alexandria via LeMat-Bulk. Energies are from PBE-GGA.

The calculation puts the energy of formation from the pure elements at 0.0385 eV per atom. The density of states at the Fermi level comes out at 5.0 states/eV/cell. The total energy comes out at -32.8 eV/cell.

```
FeRePt2
1.0
3.817 0.000 0.000
0.000 3.817 0.000
0.000 0.000 3.982
Fe Re Pt
1 1 2
direct
0.000 0.000 0.000 Fe
0.500 0.500 0.000 Re
0.000 0.500 0.500 Pt
0.500 0.000 0.500 Pt
```


Record 5
Here is FeRe4Pt after structural relaxation from Alexandria via LeMat-Bulk. Energies are from PBE-GGA.

The calculation puts the energy of formation from the pure elements at 0.5100 eV per atom. The density of states at the Fermi level comes out at 5.8 states/eV/cell. The total energy comes out at -61.2 eV/cell.

```
FeRe4Pt
1.0
0.000 3.632 3.632
3.632 0.000 3.632
3.632 3.632 0.000
Fe Re Pt
1 4 1
direct
0.000 0.000 0.000 Fe
0.375 0.375 0.375 Re
0.375 0.375 0.874 Re
0.375 0.874 0.375 Re
0.874 0.375 0.375 Re
0.750 0.750 0.750 Pt
```


Record 6
Here is FeRePt2 after structural relaxation from Alexandria via LeMat-Bulk. Energies are from PBE-GGA.

The calculation puts the energy of formation from the pure elements at 0.4151 eV per atom. The density of states at the Fermi level comes out at 9.2 states/eV/cell. The total energy comes out at -31.3 eV/cell.

```
FeRePt2
1.0
0.000 3.078 3.078
3.078 0.000 3.078
3.078 3.078 0.000
Fe Re Pt
1 1 2
direct
0.000 0.000 0.000 Fe
0.500 0.500 0.500 Re
0.250 0.250 0.250 Pt
0.750 0.750 0.750 Pt
```


Record 7
Here is FeRePt2 after structural relaxation from Alexandria via LeMat-Bulk. Energies are from PBE-GGA.

The calculation puts the energy of formation from the pure elements at -0.0396 eV per atom. The density of states at the Fermi level comes out at 4.9 states/eV/cell. The total energy comes out at -33.2 eV/cell.

```
FeRePt2
1.0
1.383 0.798 8.873
-1.383 0.798 8.873
0.000 -1.596 8.873
Fe Re Pt
1 1 2
direct
0.000 0.000 0.000 Fe
0.500 0.500 0.500 Re
0.252 0.252 0.252 Pt
0.748 0.748 0.748 Pt
```


Record 8
Here is FeRePt4 after structural relaxation from Alexandria via LeMat-Bulk. Energies are from PBE-GGA.

The calculation puts the energy of formation from the pure elements at 0.4551 eV per atom. The density of states at the Fermi level comes out at 4.8 states/eV/cell. The total energy comes out at -42.3 eV/cell.

```
FeRePt4
1.0
0.000 3.661 3.661
3.661 0.000 3.661
3.661 3.661 0.000
Fe Re Pt
1 1 4
direct
0.000 0.000 0.000 Fe
0.250 0.250 0.250 Re
0.125 0.625 0.625 Pt
0.625 0.125 0.625 Pt
0.625 0.625 0.125 Pt
0.625 0.625 0.625 Pt
```


Record 9
Here is FeRePt2 after structural relaxation from Alexandria via LeMat-Bulk. Energies are from PBE-GGA.

The calculation puts the energy of formation from the pure elements at 0.6675 eV per atom. The density of states at the Fermi level comes out at 13.7 states/eV/cell. The total energy comes out at -60.6 eV/cell.

```
FeRePt2
1.0
-3.434 3.434 2.639
3.434 -3.434 2.639
3.434 3.434 -2.639
Fe Re Pt
2 2 4
direct
0.000 0.000 0.000 Fe
0.750 0.250 0.500 Fe
0.250 0.750 0.500 Re
0.500 0.500 0.000 Re
0.111 0.125 0.486 Pt
0.375 0.889 0.014 Pt
0.639 0.625 0.514 Pt
0.875 0.361 0.986 Pt
```


Record 10
Here is FeRePt2 after structural relaxation from Alexandria via LeMat-Bulk. Energies are from PBE-GGA.

The calculation puts the energy of formation from the pure elements at -0.1330 eV per atom. The density of states at the Fermi level comes out at 3.2 states/eV/cell. The total energy comes out at -33.5 eV/cell.

```
FeRePt2
1.0
2.710 0.000 0.000
0.000 4.438 0.000
0.000 0.000 4.855
Fe Re Pt
1 1 2
direct
0.000 0.000 0.000 Fe
0.000 0.500 0.318 Re
0.500 0.000 0.486 Pt
0.500 0.500 0.829 Pt
```


Record 11
Here is FeRePt2 after structural relaxation from Alexandria via LeMat-Bulk. Energies are from PBE-GGA.

The calculation puts the energy of formation from the pure elements at -0.0402 eV per atom. The density of states at the Fermi level comes out at 3.9 states/eV/cell. The total energy comes out at -33.2 eV/cell.

```
FeRePt2
1.0
-1.937 1.937 3.845
1.937 -1.937 3.845
1.937 1.937 -3.845
Fe Re Pt
1 1 2
direct
0.000 0.000 0.000 Fe
0.250 0.750 0.500 Re
0.500 0.500 0.000 Pt
0.750 0.250 0.500 Pt
```


Record 12
Here is FeRePt2 after structural relaxation from Alexandria via LeMat-Bulk. Energies are from PBE-GGA.

The calculation puts the energy of formation from the pure elements at -0.0879 eV per atom. The density of states at the Fermi level comes out at 3.8 states/eV/cell. The total energy comes out at -33.3 eV/cell.

```
FeRePt2
1.0
2.713 -3.995 0.000
2.713 3.995 0.000
0.000 0.000 2.704
Fe Re Pt
1 1 2
direct
0.000 0.000 0.000 Fe
0.500 0.500 0.000 Re
0.000 0.500 0.500 Pt
0.500 0.000 0.500 Pt
```


energy of formation from the pure elements of number 6 (FeRePt2)?
0.4151 eV per atom


Look up the energy of formation from the pure elements of the fourth one.
0.0385 eV per atom


Number 10 is which compound?
FeRePt2